Record 1
Below is an optimized crystal structure of YTeIr2Br, with properties calculated at the PBE level.

Lattice parameters (Å, degrees): 4.6336 4.6336 5.7488 90.00 90.00 90.00
Space group P4/mmm (No. 123)
Unique sites:
1 Y 0.0000 0.0000 0.0000 (multiplicity 1)
2 Te 0.5000 0.5000 0.0000 (multiplicity 1)
3 Ir 0.0000 0.5000 0.5000 (multiplicity 2)
4 Br 0.5000 0.5000 0.5000 (multiplicity 1)

Properties
- Formation energy without anion corrections: 887.5 meV/atom



Record 2
Below is an optimized crystal structure of NaCuH3, with properties calculated at the PBE level.

Lattice parameters (Å, degrees): 9.1884 9.1884 9.1884 90.00 90.00 90.00
Space group Fd-3m (No. 227, origin choice 2)
Unique sites:
1 Na 0.0000 0.0000 0.0000 (multiplicity 16)
2 Cu 0.0000 0.0000 0.5000 (multiplicity 16)
3 H 0.0660 0.3750 0.8750 (multiplicity 48)

Properties
- Excess energy over the best structure of this formula in the dataset: 209 meV per atom



Record 3
Below is an optimized crystal structure of Ba2YCu, with properties calculated at the PBE level.

Lattice parameters (Å, degrees): 5.0343 5.0343 11.2730 90.00 90.00 90.00
Space group I4/mmm (No. 139)
Unique sites:
1 Ba 0.0000 0.5000 0.2500 (multiplicity 4)
2 Y 0.0000 0.0000 0.0000 (multiplicity 2)
3 Cu 0.0000 0.0000 0.5000 (multiplicity 2)

Properties
- Excess energy over the best structure of this formula in the dataset: 396 meV per atom
- DFT formation energy: 0.453 eV per atom



| no. | total moment (Bohr magnetons per cell) |
| --- | --- |
| 1 | 0.0 |
| 2 | 0.0 |
| 3 | 0.0 |